[1]
4
Lattice="4.5496 -1.2517 0.0000 4.5496 1.2517 0.0000 -1.8735 0.0000 4.2372" Properties=species:S:1:pos:R:3 comment="BeCu2Re, optimized geometry, DFT PBE" spacegroup="No. 8" vol_a3_per_cell=48.3 total_magnetization_mub_per_cell=0.0 dft_energy_ev_per_atom=-5.917 formation_energy_ev_per_atom=0.174 dos_at_fermi_per_ev_atom=0.50 pbc="T T T"
Be 0.0000 0.0000 0.0000
Cu 3.3936 0.0000 2.2048
Cu 5.8016 0.0000 1.6409
Re 0.5793 0.0000 3.8898



[2]
4
Lattice="2.9396 0.0000 0.0000 0.0000 2.9396 0.0000 0.0000 0.0000 6.0256" Properties=species:S:1:pos:R:3 comment="BeCuRe2, optimized geometry, DFT PBE" spacegroup="No. 99" vol_a3_per_cell=52.1 total_magnetization_mub_per_cell=0.0 dft_energy_ev_per_atom=-8.037 formation_energy_ev_per_atom=0.143 dos_at_fermi_per_ev_atom=0.62 pbc="T T T"
Be 0.0000 0.0000 0.0000
Cu 1.4698 1.4698 1.1557
Re 0.0000 0.0000 2.9916
Re 1.4698 1.4698 4.4902



[3]
19
Lattice="3.6053 2.0815 3.5974 -3.6053 2.0815 3.5974 0.0000 -4.1631 3.5974" Properties=species:S:1:pos:R:3 comment="Be17CuRe, optimized geometry, DFT PBE" spacegroup="No. 160" vol_a3_per_cell=162.0 total_magnetization_mub_per_cell=0.0 dft_energy_ev_per_atom=-4.278 formation_energy_ev_per_atom=-0.073 dos_at_fermi_per_ev_atom=0.24 pbc="T T T"
Be 1.8017 1.0402 7.1949
Be 0.0000 0.0000 0.6344
Be -1.1432 -2.2341 5.3096
Be -2.5064 0.1271 5.3096
Be 0.0000 -2.0203 3.5799
Be -1.7496 1.0102 3.5799
Be 0.0000 0.0000 2.8031
Be -1.7430 -1.0063 7.0112
Be 1.1432 -2.2341 5.3096
Be -1.3632 2.1071 5.3096
Be -1.8017 1.0402 7.1949
Be 0.0000 -2.0805 7.1949
Be 1.7496 1.0102 3.5799
Be 1.7430 -1.0063 7.0112
Be 0.0000 2.0127 7.0112
Be 2.5064 0.1271 5.3096
Be 1.3632 2.1071 5.3096
Cu 0.0000 0.0000 8.3362
Re 0.0000 0.0000 5.2510